AgRhPb: relaxed, GGA-PBEsol.

extended XYZ file:
```
6
Lattice="3.4862 0.0000 0.0000 0.0000 3.4862 0.0000 0.0000 0.0000 8.8979" Properties=species:S:1:pos:R:3 pbc="T T T"
Ag 0.0000 0.0000 0.0000
Ag 1.7431 1.7431 4.4490
Rh 0.0000 0.0000 3.0180
Rh 1.7431 1.7431 7.4670
Pb 0.0000 0.0000 6.0308
Pb 1.7431 1.7431 1.5819
```

Output
Calculated formation energy = 185.9 meV/atom
Raw total energy = -4.964 eV/atom
DOS at the Fermi energy = 5.5 states/eV per cell
Space group = I4mm, No. 107
Offset from the most stable computed form = 5 meV/atom
Magnetic moment = 0.00 μB/atom



AgRhPb2: relaxed, GGA-PBEsol.

extended XYZ file:
```
16
Lattice="6.9261 0.0000 0.0000 0.0000 6.9261 0.0000 0.0000 0.0000 6.9261" Properties=species:S:1:pos:R:3 pbc="T T T"
Ag 0.0000 0.0000 0.0000
Ag 0.0000 3.4631 3.4631
Ag 3.4631 0.0000 3.4631
Ag 3.4631 3.4631 0.0000
Rh 1.7315 1.7315 1.7315
Rh 1.7315 5.1946 5.1946
Rh 5.1946 1.7315 5.1946
Rh 5.1946 5.1946 1.7315
Pb 0.0000 0.0000 3.4631
Pb 0.0000 3.4631 0.0000
Pb 1.7315 1.7315 5.1946
Pb 1.7315 5.1946 1.7315
Pb 3.4631 0.0000 0.0000
Pb 3.4631 3.4631 3.4631
Pb 5.1946 1.7315 1.7315
Pb 5.1946 5.1946 5.1946
```

Output
Calculated formation energy = 366.1 meV/atom
Raw total energy = -4.496 eV/atom
DOS at the Fermi energy = 10.8 states/eV per cell
Space group = F-43m, No. 216
Offset from the most stable computed form = 251 meV/atom
Magnetic moment = 0.00 μB/atom



AgRhPb: relaxed, GGA-PBEsol.

extended XYZ file:
```
12
Lattice="6.2604 0.0000 0.0000 0.0000 6.2604 0.0000 0.0000 0.0000 6.2604" Properties=species:S:1:pos:R:3 pbc="T T T"
Ag 0.0000 0.0000 0.0000
Ag 0.0000 3.1302 3.1302
Ag 3.1302 0.0000 3.1302
Ag 3.1302 3.1302 0.0000
Rh 1.5651 1.5651 4.6953
Rh 1.5651 4.6953 1.5651
Rh 4.6953 1.5651 1.5651
Rh 4.6953 4.6953 4.6953
Pb 0.0000 0.0000 3.1302
Pb 0.0000 3.1302 0.0000
Pb 3.1302 0.0000 0.0000
Pb 3.1302 3.1302 3.1302
```

Output
Calculated formation energy = 181.1 meV/atom
Raw total energy = -4.968 eV/atom
DOS at the Fermi energy = 5.9 states/eV per cell
Space group = F-43m, No. 216
Offset from the most stable computed form = 0 meV/atom
Magnetic moment = 0.00 μB/atom



AgRuPb2: relaxed, GGA-PBEsol.

extended XYZ file:
```
4
Lattice="3.4698 0.0000 0.0000 0.0000 4.3882 0.0000 0.0000 0.0000 5.4148" Properties=species:S:1:pos:R:3 pbc="T T T"
Ag 0.0000 0.0000 0.0000
Ru 1.7349 0.0000 2.7074
Pb 0.0000 2.1941 2.7074
Pb 1.7349 2.1941 0.0000
```

Output
Calculated formation energy = 576.6 meV/atom
Raw total energy = -4.794 eV/atom
DOS at the Fermi energy = 2.6 states/eV per cell
Space group = Pmmm, No. 47
Offset from the most stable computed form = 231 meV/atom
Magnetic moment = 0.00 μB/atom



AgRuPb2: relaxed, GGA-PBEsol.

extended XYZ file:
```
8
Lattice="4.5273 0.0000 0.0000 0.0000 3.3834 0.0000 0.0000 0.0000 10.5730" Properties=species:S:1:pos:R:3 pbc="T T T"
Ag 0.0000 0.0000 0.0000
Ag 0.0000 1.6917 5.2865
Ru 2.2636 0.0000 8.8857
Ru 2.2636 1.6917 3.5992
Pb 0.0000 0.0000 2.8810
Pb 0.0000 1.6917 8.1675
Pb 2.2636 0.0000 5.9978
Pb 2.2636 1.6917 0.7113
```

Output
Calculated formation energy = 345.8 meV/atom
Raw total energy = -5.024 eV/atom
DOS at the Fermi energy = 4.7 states/eV per cell
Space group = Amm2, No. 38
Offset from the most stable computed form = 0 meV/atom
Magnetic moment = 0.00 μB/atom



AgRuPb2: relaxed, GGA-PBEsol.

extended XYZ file:
```
4
Lattice="3.4233 0.0000 0.0000 0.0000 4.1120 0.0000 0.0000 0.0000 5.7452" Properties=species:S:1:pos:R:3 pbc="T T T"
Ag 0.0000 0.0000 0.0000
Ru 1.7116 2.0560 4.0433
Pb 0.0000 0.0000 3.0535
Pb 1.7116 2.0560 1.0929
```

Output
Calculated formation energy = 424.1 meV/atom
Raw total energy = -4.946 eV/atom
DOS at the Fermi energy = 2.1 states/eV per cell
Space group = Pmm2, No. 25
Offset from the most stable computed form = 78 meV/atom
Magnetic moment = 0.00 μB/atom